# PBE BaTl4Pb15, optimized geometry
# M_tot (μB per cell): 0.0
# Final energy (eV per atom): -3.39
data_BaTl4Pb15
_cell_length_a 5.106
_cell_length_b 5.106
_cell_length_c 24.588
_cell_angle_alpha 90.00
_cell_angle_beta 90.00
_cell_angle_gamma 90.00
_space_group_name_H-M_alt 'P 4/m m m'
_space_group_IT_number 123
_space_group_name_Hall '-P 4 2'
loop_
_atom_site_label
_atom_site_fract_x
_atom_site_fract_y
_atom_site_fract_z
Ba1 0.000 0.000 0.000
Tl1 0.000 0.000 0.203
Tl2 0.000 0.000 0.401
Pb1 0.000 0.500 0.107
Pb2 0.000 0.500 0.302
Pb3 0.000 0.500 0.500
Pb4 0.500 0.500 0.000
Pb5 0.500 0.500 0.205
Pb6 0.500 0.500 0.400